<P>
The following is a DFT calculation (PBE) of an optimized crystal structure of Sr2SnO4.

- total magnetization (μB/f.u.) = 0.0
- crystal system = tetragonal

Cell: 5.8764 5.8764 12.5181 Å, 90.00 90.00 90.00°
With the nearest neighbours (Å) after each atom.
Positions (direct):
O  0.0000  0.5000  0.7192  2 Sn 2.11
O  0.7061  0.2061  0.5867  1 Sn 2.08
O  0.2939  0.7939  0.5867  1 Sn 2.08
O  0.7061  0.7939  0.0867  1 Sn 2.08
O  0.5000  0.0000  0.2808  2 Sn 2.11
O  0.5000  0.0000  0.7808  2 Sn 2.11
O  0.0000  0.0000  0.2500  2 Sn 2.08
O  0.2061  0.2939  0.4133  1 Sn 2.08
O  0.2939  0.2061  0.0867  1 Sn 2.08
O  0.0000  0.5000  0.2192  2 Sn 2.11
O  0.5000  0.5000  0.7500  2 Sn 2.08
O  0.7939  0.7061  0.4133  1 Sn 2.08
O  0.7939  0.2939  0.9133  1 Sn 2.08
O  0.0000  0.0000  0.7500  2 Sn 2.08
O  0.2061  0.7061  0.9133  1 Sn 2.08
O  0.5000  0.5000  0.2500  2 Sn 2.08
Sn  0.2500  0.7500  0.7500  6 O 2.08-2.11
Sn  0.7500  0.2500  0.7500  6 O 2.08-2.11
Sn  0.7500  0.7500  0.2500  6 O 2.08-2.11
Sn  0.2500  0.2500  0.2500  6 O 2.08-2.11
Sr  0.2648  0.2352  0.6031  4 O 2.43-2.64
Sr  0.2352  0.2648  0.8969  4 O 2.43-2.64
Sr  0.7648  0.2648  0.3969  4 O 2.43-2.64
Sr  0.7352  0.2352  0.1031  4 O 2.43-2.64
Sr  0.7352  0.7648  0.6031  4 O 2.43-2.64
Sr  0.2648  0.7648  0.1031  4 O 2.43-2.64
Sr  0.2352  0.7352  0.3969  4 O 2.43-2.64
Sr  0.7648  0.7352  0.8969  4 O 2.43-2.64


<Q>
The following is a DFT calculation (PBE) of an optimized crystal structure of Sr2SnO4.

- total magnetization (μB/f.u.) = 0.0
- crystal system = tetragonal

Cell: 4.1166 4.1166 6.9859 Å, 72.86 72.86 90.00°
With the nearest neighbours (Å) after each atom.
Positions (direct):
Sr  0.3538  0.3538  0.2925  1 O 2.41
Sr  0.6462  0.6462  0.7075  1 O 2.41
O  0.5000  0.0000  0.0000  2 Sn 2.06
O  0.1641  0.1641  0.6718  1 Sn 2.08
O  0.0000  0.5000  0.0000  2 Sn 2.06
O  0.8359  0.8359  0.3282  1 Sn 2.08
Sn  0.0000  0.0000  0.0000  6 O 2.06-2.08


Preferred: <P>; penalty for the next structure: 13 meV/atom.


<P>
The following is a DFT calculation (PBE) of an optimized crystal structure of Sr3Sn2O7.

- total magnetization (μB/f.u.) = 0.0
- crystal system = tetragonal

Cell: 4.1202 4.1202 10.8221 Å, 100.97 100.97 90.00°
With the nearest neighbours (Å) after each atom.
Positions (direct):
Sr  0.5000  0.5000  0.0000  12 O 2.89-2.91
Sr  0.3143  0.3143  0.6286  1 O 2.41
Sr  0.6857  0.6857  0.3714  1 O 2.41
O  0.0973  0.5973  0.1947  2 Sn 2.06
O  0.9027  0.4027  0.8053  2 Sn 2.06
O  0.1985  0.1985  0.3970  1 Sn 2.07
O  0.4027  0.9027  0.8053  2 Sn 2.06
O  0.5973  0.0973  0.1947  2 Sn 2.06
O  0.8015  0.8015  0.6030  1 Sn 2.07
O  0.0000  0.0000  0.0000  2 Sn 2.07
Sn  0.9007  0.9007  0.8013  6 O 2.06-2.07
Sn  0.0993  0.0993  0.1987  6 O 2.06-2.07


<Q>
The following is a DFT calculation (PBE) of an optimized crystal structure of Sr3Sn2O7.

- total magnetization (μB/f.u.) = 0.0
- crystal system = orthorhombic

Cell: 10.7598 10.7598 5.8025 Å, 90.00 90.00 148.25°
With the nearest neighbours (Å) after each atom.
Positions (direct):
O  0.0824  0.9176  0.5000  2 Sn 2.10
O  0.6740  0.6740  0.2500  2 Sn 2.09
O  0.6136  0.0082  0.2500  1 Sn 2.07
O  0.3260  0.3260  0.7500  2 Sn 2.09
O  0.6132  0.3868  0.0000  2 Sn 2.08
O  0.3864  0.9918  0.7500  1 Sn 2.07
O  0.3868  0.6132  0.5000  2 Sn 2.08
O  0.9176  0.0824  0.0000  2 Sn 2.10
O  0.0082  0.6136  0.2500  1 Sn 2.07
O  0.9176  0.0824  0.5000  2 Sn 2.10
O  0.6132  0.3868  0.5000  2 Sn 2.08
O  0.0824  0.9176  0.0000  2 Sn 2.10
O  0.3868  0.6132  0.0000  2 Sn 2.08
O  0.9918  0.3864  0.7500  1 Sn 2.07
Sr  0.4247  0.0501  0.2500  4 O 2.43-2.62
Sr  0.7571  0.7571  0.7500  5 O 2.54-2.66
Sr  0.0501  0.4247  0.2500  4 O 2.43-2.62
Sr  0.9499  0.5753  0.7500  4 O 2.43-2.62
Sr  0.2429  0.2429  0.2500  5 O 2.54-2.66
Sr  0.5753  0.9499  0.7500  4 O 2.43-2.62
Sn  0.3504  0.1527  0.7500  6 O 2.07-2.10
Sn  0.6496  0.8473  0.2500  6 O 2.07-2.10
Sn  0.1527  0.3504  0.7500  6 O 2.07-2.10
Sn  0.8473  0.6496  0.2500  6 O 2.07-2.10


<R>
The following is a DFT calculation (PBE) of an optimized crystal structure of Sr3Sn2O7.

- total magnetization (μB/f.u.) = 0.0
- crystal system = orthorhombic

Cell: 4.0388 4.1408 11.0761 Å, 100.77 90.00 90.00°
With the nearest neighbours (Å) after each atom.
Positions (direct):
O  0.0000  0.1906  0.3812  1 Sn 2.06
O  0.5000  0.9059  0.8118  2 Sn 2.02
O  0.0000  0.5930  0.1861  2 Sn 2.07
O  0.0000  0.4070  0.8139  2 Sn 2.07
O  0.5000  0.0941  0.1882  2 Sn 2.02
O  0.0000  0.8094  0.6188  1 Sn 2.06
O  0.0000  0.0000  0.0000  2 Sn 2.09
Sn  0.0000  0.0960  0.1919  6 O 2.02-2.09
Sn  0.0000  0.9040  0.8081  6 O 2.02-2.09
Sr  0.5000  0.6776  0.3552  8 O 2.73-2.91
Sr  0.5000  0.3224  0.6448  8 O 2.73-2.91
Sr  0.5000  0.5000  0.0000  12 O 2.86-2.91


Preferred: <Q>; penalty for the next structure: 20 meV/atom.


<P>
The following is a DFT calculation (PBE) of an optimized crystal structure of Sr2SnO2.

- total magnetization (μB/f.u.) = 0.0
- crystal system = tetragonal

Cell: 4.9319 4.9319 6.5570 Å, 67.91 67.91 90.00°
With the nearest neighbours (Å) after each atom.
Positions (direct):
O  0.7866  0.7866  0.4267  1 Sn 2.37, 4 Sr 2.50
O  0.2134  0.2134  0.5733  1 Sn 2.37, 4 Sr 2.50
Sr  0.7500  0.2500  0.5000  4 O 2.50
Sr  0.2500  0.7500  0.5000  4 O 2.50
Sn  0.0000  0.0000  0.0000  2 O 2.37


<Q>
The following is a DFT calculation (PBE) of an optimized crystal structure of Sr2SnO2.

- total magnetization (μB/f.u.) = 0.0
- crystal system = tetragonal

Cell: 7.4072 7.4072 3.5775 Å, 90.00 90.00 90.00°
With the nearest neighbours (Å) after each atom.
Positions (direct):
O  0.1641  0.3359  0.0000  2 Sr 2.56, 2 Sn 2.77
O  0.6641  0.1641  0.0000  2 Sr 2.56, 2 Sn 2.77
O  0.8359  0.6641  0.0000  2 Sr 2.56, 2 Sn 2.77
O  0.3359  0.8359  0.0000  2 Sr 2.56, 2 Sn 2.77
Sr  0.1609  0.6609  0.5000  2 O 2.56
Sr  0.6609  0.8391  0.5000  2 O 2.56
Sr  0.3391  0.1609  0.5000  2 O 2.56
Sr  0.8391  0.3391  0.5000  2 O 2.56
Sn  0.5000  0.5000  0.0000  4 O 2.77
Sn  0.0000  0.0000  0.0000  4 O 2.77


Preferred: <P>; penalty for the next structure: 230 meV/atom.


<P>
The following is a DFT calculation (PBE) of an optimized crystal structure of SrSn3O.

- total magnetization (μB/f.u.) = 1.5
- crystal system = cubic

Cell: 6.1586 6.1586 6.1586 Å, 90.00 90.00 90.00°
With the nearest neighbours (Å) after each atom.
Positions (direct):
Sn  0.5000  0.0000  0.0000  2 Sr 3.08
Sn  0.0000  0.0000  0.5000  2 Sr 3.08
Sn  0.0000  0.5000  0.0000  2 Sr 3.08
O  0.5000  0.5000  0.5000  12 Sn 4.35
Sr  0.0000  0.0000  0.0000  6 Sn 3.08


<Q>
The following is a DFT calculation (PBE) of an optimized crystal structure of SrSn3O.

- total magnetization (μB/f.u.) = 0.0
- crystal system = cubic

Cell: 4.9785 4.9785 4.9785 Å, 90.00 90.00 90.00°
With the nearest neighbours (Å) after each atom.
Positions (direct):
Sn  0.0000  0.0000  0.5000  2 O 2.49
Sn  0.0000  0.5000  0.0000  2 O 2.49
Sn  0.5000  0.0000  0.0000  2 O 2.49
O  0.0000  0.0000  0.0000  6 Sn 2.49
Sr  0.5000  0.5000  0.5000  12 Sn 3.52


Preferred: <Q>; penalty for the next structure: 1901 meV/atom.